A relaxed structure of Mn4TlCl, computed with PBE.

Geometry as POSCAR:
```
Mn4TlCl
1.0
0.000 3.857 3.857
3.857 0.000 3.857
3.857 3.857 0.000
Mn Tl Cl
4 1 1
Cartesian
2.907 2.907 2.907
4.807 4.807 2.907
4.807 2.907 4.807
2.907 4.807 4.807
5.785 5.785 5.785
0.000 0.000 0.000
```

N(E_F): 5.9 states/eV/f.u.
raw total energy: -6.213 eV per atom
formation energy from raw total energies: 13.89 kcal/mol of atoms
V: 19.12 A^3/atom


A relaxed structure of NaPPb3, computed with PBE.

Geometry as POSCAR:
```
NaPPb3
1.0
5.557 0.000 0.000
0.000 5.557 0.000
0.000 0.000 5.557
Na P Pb
1 1 3
Cartesian
0.000 0.000 0.000
2.778 2.778 2.778
0.000 2.778 2.778
2.778 0.000 2.778
2.778 2.778 0.000
```

N(E_F): 3.8 states/eV/f.u.
polymorph energy (0 for the lowest one): 0.000 kcal/mol of atoms
raw total energy: -3.315 eV per atom
ΔE_f: 255 meV/atom
V: 34.32 A^3/atom


A relaxed structure of PrDy3Y6, computed with PBE.

Geometry as POSCAR:
```
PrDy3Y6
1.0
5.519 -9.503 0.000
5.519 9.503 0.000
0.000 0.000 6.279
Pr Dy Y
2 6 12
Cartesian
5.519 5.580 3.139
5.519 -5.580 0.000
1.929 2.081 1.843
1.929 -2.081 4.983
5.519 2.097 2.608
5.519 -2.097 5.748
9.108 2.081 1.843
9.108 -2.081 4.983
2.751 3.972 4.416
5.519 8.609 1.526
5.519 4.093 6.211
3.697 0.864 5.484
3.697 -0.864 2.344
2.751 -3.972 1.276
8.287 3.972 4.416
7.340 0.864 5.484
7.340 -0.864 2.344
5.519 -4.093 3.072
5.519 -8.609 4.666
8.287 -3.972 1.276
```

N(E_F): 14.6 states/eV/f.u.
polymorph energy (0 for the lowest one): 0.699 kcal/mol of atoms
raw total energy: -5.592 eV per atom
ΔE_f: 145 meV/atom
V: 32.93 A^3/atom